Computed, not measured: VAsBr2Cl after structural relaxation at the PBE-GGA level of DFT.

Cell lengths 5.087, 5.087, 5.329 Å; angles 90.00, 90.00, 90.00 degrees
Site moments in Bohr magnetons follow the coordinates.
Sites, in units of the cell vectors:
As 0.000 0.000 0.500  -0.35
Cl 0.000 0.000 0.000  0.01
Br 0.000 0.500 0.000  -0.03
Br 0.500 0.000 0.000  -0.03
V 0.500 0.500 0.500  2.99

Summary:
- E_tot (eV/atom) = -2.789
- Fermi-level density of states (states/eV/atom) = 0.82
- formation energy (no corrections) (kJ/mol of atoms) = 96.8
- magnetization (μB/f.u.) = 2.68
- ΔE to the lowest computed polymorph (meV/atom) = 1050


Computed, not measured: VAsBr2Cl after structural relaxation at the PBE-GGA level of DFT.

Cell lengths 4.871, 4.871, 5.062 Å; angles 90.00, 90.00, 90.00 degrees
Site moments in Bohr magnetons follow the coordinates.
Sites, in units of the cell vectors:
As 0.000 0.000 0.500  0.19
Cl 0.500 0.500 0.500  0.03
Br 0.000 0.500 0.000  0.00
Br 0.500 0.000 0.000  0.00
V 0.000 0.000 0.000  -1.16

Summary:
- E_tot (eV/atom) = -3.839
- Fermi-level density of states (states/eV/atom) = 0.99
- formation energy (no corrections) (kJ/mol of atoms) = -4.6
- magnetization (μB/f.u.) = 0.88
- ΔE to the lowest computed polymorph (meV/atom) = 0


Computed, not measured: AsWBr2Cl after structural relaxation at the PBE-GGA level of DFT.

Cell lengths 5.007, 5.007, 4.975 Å; angles 90.00, 90.00, 90.00 degrees
Sites, in units of the cell vectors:
As 0.000 0.000 0.500
Br 0.000 0.500 0.000
Br 0.500 0.000 0.000
W 0.000 0.000 0.000
Cl 0.500 0.500 0.500

Summary:
- E_tot (eV/atom) = -4.281
- Fermi-level density of states (states/eV/atom) = 0.62
- formation energy (no corrections) (kJ/mol of atoms) = 26.8
- magnetization (μB/f.u.) = 0.00
- ΔE to the lowest computed polymorph (meV/atom) = 0


Computed, not measured: AsWBr2Cl after structural relaxation at the PBE-GGA level of DFT.

Cell lengths 5.030, 5.030, 5.305 Å; angles 90.00, 90.00, 90.00 degrees
Site moments in Bohr magnetons follow the coordinates.
Sites, in units of the cell vectors:
As 0.000 0.000 0.500  -0.33
Br 0.000 0.500 0.000  0.00
Br 0.500 0.000 0.000  0.00
W 0.500 0.500 0.500  3.22
Cl 0.000 0.000 0.000  0.01

Summary:
- E_tot (eV/atom) = -2.875
- Fermi-level density of states (states/eV/atom) = 1.00
- formation energy (no corrections) (kJ/mol of atoms) = 162.5
- magnetization (μB/f.u.) = 3.68
- ΔE to the lowest computed polymorph (meV/atom) = 1406


Computed, not measured: As2WBrCl after structural relaxation at the PBE-GGA level of DFT.

Cell lengths 4.921, 4.921, 4.861 Å; angles 90.00, 90.00, 90.00 degrees
Site moments in Bohr magnetons follow the coordinates.
Sites, in units of the cell vectors:
As 0.000 0.500 0.000  -0.21
As 0.500 0.000 0.000  -0.21
Br 0.000 0.000 0.500  -0.03
W 0.500 0.500 0.500  2.78
Cl 0.000 0.000 0.000  0.00

Summary:
- E_tot (eV/atom) = -3.420
- Fermi-level density of states (states/eV/atom) = 0.63
- formation energy (no corrections) (kJ/mol of atoms) = 167.3
- magnetization (μB/f.u.) = 2.82
- ΔE to the lowest computed polymorph (meV/atom) = 1421


Computed, not measured: As2WBrCl after structural relaxation at the PBE-GGA level of DFT.

Cell lengths 4.899, 4.899, 5.082 Å; angles 90.00, 90.00, 90.00 degrees
Sites, in units of the cell vectors:
As 0.000 0.500 0.000
As 0.500 0.000 0.000
Br 0.000 0.000 0.500
W 0.000 0.000 0.000
Cl 0.500 0.500 0.500

Summary:
- E_tot (eV/atom) = -4.841
- Fermi-level density of states (states/eV/atom) = 0.74
- formation energy (no corrections) (kJ/mol of atoms) = 30.2
- magnetization (μB/f.u.) = 0.00
- ΔE to the lowest computed polymorph (meV/atom) = 0


Computed, not measured: YAsBr2Cl after structural relaxation at the PBE-GGA level of DFT.

Cell lengths 5.402, 5.402, 6.079 Å; angles 90.00, 90.00, 90.00 degrees
Site moments in Bohr magnetons follow the coordinates.
Sites, in units of the cell vectors:
Y 0.000 0.000 0.000  0.01
As 0.000 0.000 0.500  0.57
Br 0.000 0.500 0.000  0.03
Br 0.500 0.000 0.000  0.03
Cl 0.500 0.500 0.500  -0.14

Summary:
- E_tot (eV/atom) = -3.897
- Fermi-level density of states (states/eV/atom) = 0.54
- formation energy (no corrections) (kJ/mol of atoms) = -61.3
- magnetization (μB/f.u.) = 1.17
- ΔE to the lowest computed polymorph (meV/atom) = 0


Computed, not measured: YAsBr2Cl after structural relaxation at the PBE-GGA level of DFT.

Cell lengths 5.219, 5.219, 5.124 Å; angles 90.00, 90.00, 90.00 degrees
Site moments in Bohr magnetons follow the coordinates.
Sites, in units of the cell vectors:
Y 0.500 0.500 0.500  0.00
As 0.000 0.000 0.500  0.01
Br 0.000 0.500 0.000  0.15
Br 0.500 0.000 0.000  0.15
Cl 0.000 0.000 0.000  0.24

Summary:
- E_tot (eV/atom) = -3.135
- Fermi-level density of states (states/eV/atom) = 0.61
- formation energy (no corrections) (kJ/mol of atoms) = 12.2
- magnetization (μB/f.u.) = 0.65
- ΔE to the lowest computed polymorph (meV/atom) = 762


Computed, not measured: ZnAsBr2Cl after structural relaxation at the PBE-GGA level of DFT.

Cell lengths 4.952, 4.952, 5.350 Å; angles 90.00, 90.00, 90.00 degrees
Site moments in Bohr magnetons follow the coordinates.
Sites, in units of the cell vectors:
As 0.000 0.000 0.500  0.20
Zn 0.000 0.000 0.000  0.00
Br 0.000 0.500 0.000  -0.01
Br 0.500 0.000 0.000  -0.01
Cl 0.500 0.500 0.500  -0.04

Summary:
- E_tot (eV/atom) = -2.005
- Fermi-level density of states (states/eV/atom) = 0.74
- formation energy (no corrections) (kJ/mol of atoms) = 21.0
- magnetization (μB/f.u.) = 0.32
- ΔE to the lowest computed polymorph (meV/atom) = 0


Computed, not measured: ZnAs2BrCl after structural relaxation at the PBE-GGA level of DFT.

Cell lengths 4.717, 4.717, 6.907 Å; angles 90.00, 90.00, 90.00 degrees
Sites, in units of the cell vectors:
As 0.000 0.500 0.000
As 0.500 0.000 0.000
Zn 0.500 0.500 0.500
Br 0.000 0.000 0.500
Cl 0.000 0.000 0.000

Summary:
- E_tot (eV/atom) = -1.963
- Fermi-level density of states (states/eV/atom) = 0.93
- formation energy (no corrections) (kJ/mol of atoms) = 82.5
- magnetization (μB/f.u.) = 0.00
- ΔE to the lowest computed polymorph (meV/atom) = 369


Computed, not measured: ZnAs2BrCl after structural relaxation at the PBE-GGA level of DFT.

Cell lengths 4.968, 4.968, 5.046 Å; angles 90.00, 90.00, 90.00 degrees
Site moments in Bohr magnetons follow the coordinates.
Sites, in units of the cell vectors:
As 0.000 0.500 0.000  0.17
As 0.500 0.000 0.000  0.17
Zn 0.000 0.000 0.000  0.01
Br 0.000 0.000 0.500  0.00
Cl 0.500 0.500 0.500  -0.01

Summary:
- E_tot (eV/atom) = -2.332
- Fermi-level density of states (states/eV/atom) = 0.80
- formation energy (no corrections) (kJ/mol of atoms) = 46.9
- magnetization (μB/f.u.) = 0.69
- ΔE to the lowest computed polymorph (meV/atom) = 0


Computed, not measured: ZnAsBr2Cl after structural relaxation at the PBE-GGA level of DFT.

Cell lengths 5.699, 5.699, 5.030 Å; angles 90.00, 90.00, 90.00 degrees
Site moments in Bohr magnetons follow the coordinates.
Sites, in units of the cell vectors:
As 0.000 0.000 0.500  0.82
Zn 0.500 0.500 0.500  -0.17
Br 0.000 0.500 0.000  0.17
Br 0.500 0.000 0.000  0.17
Cl 0.000 0.000 0.000  0.17

Summary:
- E_tot (eV/atom) = -1.539
- Fermi-level density of states (states/eV/atom) = 0.90
- formation energy (no corrections) (kJ/mol of atoms) = 66.0
- magnetization (μB/f.u.) = 2.08
- ΔE to the lowest computed polymorph (meV/atom) = 467


Computed, not measured: ZrAs2BrCl after structural relaxation at the PBE-GGA level of DFT.

Cell lengths 4.673, 4.673, 5.659 Å; angles 90.00, 90.00, 90.00 degrees
Sites, in units of the cell vectors:
As 0.000 0.500 0.000
As 0.500 0.000 0.000
Br 0.000 0.000 0.500
Zr 0.500 0.500 0.500
Cl 0.000 0.000 0.000

Summary:
- E_tot (eV/atom) = -3.595
- Fermi-level density of states (states/eV/atom) = 0.98
- formation energy (no corrections) (kJ/mol of atoms) = 65.4
- magnetization (μB/f.u.) = 0.00
- ΔE to the lowest computed polymorph (meV/atom) = 737


Computed, not measured: ZrAs2BrCl after structural relaxation at the PBE-GGA level of DFT.

Cell lengths 5.282, 5.282, 5.220 Å; angles 90.00, 90.00, 90.00 degrees
Site moments in Bohr magnetons follow the coordinates.
Sites, in units of the cell vectors:
As 0.000 0.500 0.000  0.15
As 0.500 0.000 0.000  0.15
Br 0.000 0.000 0.500  0.08
Zr 0.000 0.000 0.000  0.01
Cl 0.500 0.500 0.500  0.03

Summary:
- E_tot (eV/atom) = -4.332
- Fermi-level density of states (states/eV/atom) = 0.96
- formation energy (no corrections) (kJ/mol of atoms) = -5.7
- magnetization (μB/f.u.) = 0.79
- ΔE to the lowest computed polymorph (meV/atom) = 0


Computed, not measured: CoAsBr after structural relaxation at the PBE-GGA level of DFT.

Cell lengths 4.267, 4.267, 4.267 Å; angles 60.00, 60.00, 60.00 degrees
Sites, in units of the cell vectors:
As 0.000 0.000 0.000
Br 0.500 0.500 0.500
Co 0.750 0.750 0.750

Summary:
- E_tot (eV/atom) = -4.122
- Fermi-level density of states (states/eV/atom) = 0.99
- formation energy (no corrections) (kJ/mol of atoms) = 34.2
- magnetization (μB/f.u.) = 0.01
- ΔE to the lowest computed polymorph (meV/atom) = 447


Computed, not measured: Co2AsBr after structural relaxation at the PBE-GGA level of DFT.

Cell lengths 6.728, 6.728, 6.728 Å; angles 150.94, 150.94, 41.56 degrees
Site moments in Bohr magnetons follow the coordinates.
Sites, in units of the cell vectors:
As 0.500 0.500 0.000  -0.01
Br 0.750 0.250 0.500  0.08
Co 0.000 0.000 0.000  0.18
Co 0.250 0.750 0.500  1.54

Summary:
- E_tot (eV/atom) = -4.481
- Fermi-level density of states (states/eV/atom) = 1.10
- formation energy (no corrections) (kJ/mol of atoms) = 62.9
- magnetization (μB/f.u.) = 1.79
- ΔE to the lowest computed polymorph (meV/atom) = 577


Computed, not measured: CoAsBr after structural relaxation at the PBE-GGA level of DFT.

Cell lengths 4.482, 4.482, 4.482 Å; angles 60.00, 60.00, 60.00 degrees
Site moments in Bohr magnetons follow the coordinates.
Sites, in units of the cell vectors:
As 0.500 0.500 0.500  -0.09
Br 0.750 0.750 0.750  -0.01
Co 0.000 0.000 0.000  1.52

Summary:
- E_tot (eV/atom) = -3.221
- Fermi-level density of states (states/eV/atom) = 2.43
- formation energy (no corrections) (kJ/mol of atoms) = 121.1
- magnetization (μB/f.u.) = 1.29
- ΔE to the lowest computed polymorph (meV/atom) = 1348


Computed, not measured: Co2AsBr after structural relaxation at the PBE-GGA level of DFT.

Cell lengths 3.618, 3.618, 6.087 Å; angles 73.01, 73.01, 60.08 degrees
Sites, in units of the cell vectors:
As 0.750 0.750 0.750
Br 0.250 0.250 0.250
Co 0.029 0.029 0.916
Co 0.471 0.471 0.584

Summary:
- E_tot (eV/atom) = -5.021
- Fermi-level density of states (states/eV/atom) = 0.49
- formation energy (no corrections) (kJ/mol of atoms) = 10.8
- magnetization (μB/f.u.) = 0.00
- ΔE to the lowest computed polymorph (meV/atom) = 36


Computed, not measured: CoAsBr after structural relaxation at the PBE-GGA level of DFT.

Cell lengths 4.522, 4.522, 4.522 Å; angles 60.00, 60.00, 60.00 degrees
Site moments in Bohr magnetons follow the coordinates.
Sites, in units of the cell vectors:
As 0.750 0.750 0.750  -0.13
Br 0.000 0.000 0.000  -0.05
Co 0.500 0.500 0.500  1.62

Summary:
- E_tot (eV/atom) = -3.472
- Fermi-level density of states (states/eV/atom) = 1.84
- formation energy (no corrections) (kJ/mol of atoms) = 96.8
- magnetization (μB/f.u.) = 1.33
- ΔE to the lowest computed polymorph (meV/atom) = 1097


Computed, not measured: CoAsBr4 after structural relaxation at the PBE-GGA level of DFT.

Cell lengths 6.193, 6.193, 6.193 Å; angles 60.00, 60.00, 60.00 degrees
Site moments in Bohr magnetons follow the coordinates.
Sites, in units of the cell vectors:
Co 0.750 0.750 0.750  2.19
As 0.000 0.000 0.000  0.77
Br 0.872 0.376 0.376  0.02
Br 0.376 0.376 0.872  0.02
Br 0.376 0.872 0.376  0.02
Br 0.376 0.376 0.376  0.02

Summary:
- E_tot (eV/atom) = -1.801
- Fermi-level density of states (states/eV/atom) = 1.46
- formation energy (no corrections) (kJ/mol of atoms) = 122.9
- magnetization (μB/f.u.) = 4.02